Density functional theory data (PBE-GGA) for Si2AuC after structural relaxation.

Values from the calculation:
For the density of states at the Fermi level, the calculation gives 1.260 states/eV/f.u. The value obtained for the formation energy (no corrections) is 0.322 eV per atom. For the electronic total energy, the calculation gives -44.12 eV for the cell shown. The total magnetic moment comes out at 0.00 μB per cell.

Lattice parameters (Å, degrees): 9.374 3.103 6.516 90.00 125.59 90.00
Space group Cm (No. 8)
Unique sites:
Si 0.000 0.000 0.000 [2 per cell]
Si 0.182 0.500 0.788 [2 per cell]
Au 0.086 0.000 0.438 [2 per cell]
C 0.062 0.500 0.925 [2 per cell]